Here is an optimized crystal structure of Ce2PrGa2Au2 from Alexandria. Energies are from GGA-PBE.

a b c (Å): 4.4959 4.4959 27.6143
angles (deg): 90.00 90.00 120.00
Space group R-3m (No. 166, hexagonal axes)
Symmetry-distinct sites (fractional):
Ce 0.0000 0.0000 0.1406
Pr 0.0000 0.0000 0.0000
Ga 0.0000 0.0000 0.2578
Au 0.0000 0.0000 0.4070

## Properties
* ρ: 9.84 g cm⁻³
* calculated volume: 483.4 Å³ per cell

Here is an optimized crystal structure of CeGa3PtAu from Alexandria. Energies are from GGA-PBE.

a b c (Å): 6.515 14.974 5.834
angles (deg): 90.00 90.00 90.00
Space group Cmcm (No. 63)
Symmetry-distinct sites (fractional):
Ce 0.000 0.160 0.250
Ga 0.000 0.230 0.750
Ga 0.220 0.500 0.000
Pt 0.000 0.069 0.750
Au 0.000 0.391 0.750

## Properties
* ρ: 8.65 g cm⁻³
* calculated volume: 569.2 Å³ per cell

Here is an optimized crystal structure of Ce2Ga4Pt3Au from Alexandria. Energies are from GGA-PBE.

a b c (Å): 4.324 4.324 10.496
angles (deg): 90.00 90.00 90.00
Space group P-4m2 (No. 115)
Symmetry-distinct sites (fractional):
Ce 0.000 0.500 0.241
Ga 0.000 0.000 0.000
Ga 0.000 0.500 0.634
Ga 0.500 0.500 0.000
Pt 0.000 0.500 0.869
Pt 0.500 0.500 0.500
Au 0.000 0.000 0.500

## Properties
* ρ: 11.35 g cm⁻³
* calculated volume: 196.3 Å³ per cell

Here is an optimized crystal structure of CeGaPtAu from Alexandria. Energies are from GGA-PBE.

a b c (Å): 6.877 6.877 6.877
angles (deg): 90.00 90.00 90.00
Space group F-43m (No. 216)
Symmetry-distinct sites (fractional):
Ce 0.000 0.000 0.000
Ga 0.000 0.000 0.500
Pt 0.250 0.250 0.750
Au 0.250 0.250 0.250

## Properties
* ρ: 12.29 g cm⁻³
* calculated volume: 325.2 Å³ per cell

M_tot values (in μB per cell) by entry order: 2.66, 5.08, 1.50, 1.23.
E_tot values (in eV per atom) by entry order: -4.798, -4.450, -5.388, -5.246.
Energy of formation values (in eV/atom) by entry order: -0.618, -0.395, -0.851, -0.676.